AsPC2 after structural relaxation, computed with PBE-GGA.

Geometry as CIF:
```
data_AsPC2
_cell_length_a 3.9402
_cell_length_b 3.9402
_cell_length_c 3.9402
_cell_angle_alpha 60.00
_cell_angle_beta 60.00
_cell_angle_gamma 60.00
_symmetry_space_group_name_H-M 'P 1'
_symmetry_Int_Tables_number 1
loop_
_symmetry_equiv_pos_as_xyz
'x,y,z'
loop_
_atom_site_label
_atom_site_type_symbol
_atom_site_fract_x
_atom_site_fract_y
_atom_site_fract_z
As1 As 0.0000 0.0000 0.0000
P1 P 0.5000 0.5000 0.5000
C1 C 0.2500 0.2500 0.2500
C2 C 0.7500 0.7500 0.7500
```

Calculated values
**Energy above the lowest structure with this stoichiometry**: 41.74 kcal/mol of atoms